The following is a DFT calculation (PBE) of crystalline BaCaMnNb2 at its relaxed geometry.

- density (g cm⁻³) = 4.84
- calculated volume (Å³/cell) = 143.58
- DOS(E_F) (states/eV per atom) = 1.334
- formation enthalpy at 0 K (eV per formula unit) = 9.10
- total DFT energy (no corrections) (eV for the cell shown) = -24.1

Cell lengths 5.108, 5.108, 5.502 Å; angles 90.00, 90.00, 90.00 degrees
Space group P4/mmm (No. 123)
Inequivalent atoms, fractional coordinates:
Ba1 0.000 0.000 0.000
Ca1 0.500 0.500 0.500
Mn1 0.500 0.500 0.000
Nb1 0.000 0.500 0.500